Co4IrN4, relaxed, DFT PBE-GGA; calculated total energy = -7.446 eV/atom; formation energy (no corrections) = 0.40 eV per atom; volume = 9.670 Å³/atom
1.0
4.711 0.000 0.000
0.802 4.935 0.000
0.704 2.316 7.486
Co Ir N
8 2 8
direct
0.217 0.154 0.364
0.219 0.344 0.932
0.237 0.724 0.214
0.255 0.463 0.559
0.745 0.537 0.441
0.763 0.276 0.786
0.781 0.656 0.068
0.783 0.846 0.636
0.263 0.937 0.761
0.737 0.063 0.239
0.011 0.807 0.427
0.169 0.674 0.004
0.346 0.089 0.142
0.490 0.410 0.328
0.510 0.590 0.672
0.654 0.911 0.858
0.831 0.326 0.996
0.989 0.193 0.573